6
Lattice="0.0000 4.3904 4.3904 4.3904 0.0000 4.3904 4.3904 4.3904 0.0000" Properties=species:S:1:pos:R:3 comment="AsOsPb4 | Alexandria | GGA-PBE | relaxed" n_ef_per_ev_cell=4.7 magnetic_moment_mub_per_fu=1.79 dft_energy_ev_per_atom=-3.923 ef_kj_per_mol_atoms=115.3 pbc="T T T"
As 0.0000 0.0000 0.0000
Os 6.5856 6.5856 6.5856
Pb 3.2967 3.2967 3.2967
Pb 5.4841 5.4841 3.2967
Pb 5.4841 3.2967 5.4841
Pb 3.2967 5.4841 5.4841